Below is crystalline ZrSc2BiH at its relaxed geometry, with properties calculated at the PBE level.

It has space group P4/mmm (No. 123), with a = 5.533 Å, b = 5.533 Å, c = 5.565 Å, α = 90.00°, β = 90.00° and γ = 90.00°. The asymmetric unit holds Zr at (0.000, 0.000, 0.000), Sc at (0.000, 0.500, 0.500), Bi at (0.000, 0.000, 0.500) and H at (0.500, 0.500, 0.000).

The value obtained for the energy relative to the lowest polymorph listed for this composition is 8.27 eV per formula unit. Its spin magnetization is 4.03 μB/cell. For the density of states at the Fermi level, the calculation gives 1.3272 states/eV per atom. The value obtained for the total energy is -22.18 eV per formula unit.

Below is crystalline ZrSc2BiH at its relaxed geometry, with properties calculated at the PBE level.

It has space group P4/mmm (No. 123), with a = 4.606 Å, b = 4.606 Å, c = 4.359 Å, α = 90.00°, β = 90.00° and γ = 90.00°. The asymmetric unit holds Zr at (0.000, 0.000, 0.000), Sc at (0.000, 0.500, 0.500), Bi at (0.500, 0.500, 0.000) and H at (0.000, 0.000, 0.500).

The value obtained for the energy relative to the lowest polymorph listed for this composition is 0.00 eV per formula unit. Its spin magnetization is 0.00 μB/cell. For the density of states at the Fermi level, the calculation gives 0.7029 states/eV per atom. The value obtained for the total energy is -30.45 eV per formula unit.

Below is crystalline BiHSe2 at its relaxed geometry, with properties calculated at the PBE level.

It has space group Fm-3m (No. 225), with a = 6.973 Å, b = 6.973 Å, c = 6.973 Å, α = 90.00°, β = 90.00° and γ = 90.00°. The asymmetric unit holds Bi at (0.000, 0.000, 0.000), H at (0.000, 0.000, 0.500) and Se at (0.250, 0.250, 0.250).

The value obtained for the energy relative to the lowest polymorph listed for this composition is 2.79 eV per formula unit. Its spin magnetization is 1.26 μB/cell. For the density of states at the Fermi level, the calculation gives 0.5808 states/eV per atom. The value obtained for the total energy is -12.27 eV per formula unit.